# Tc3MoO, optimized geometry, DFT PBE with a Hubbard U
# - energy (eV for the cell shown) = -30.11
# - theoretical density (g cm⁻³) = 6.26
# - N(E_F) (states/eV/f.u.) = 5.65
# - energy relative to the lowest polymorph listed for this composition (meV/atom) = 2358
data_Tc3MoO
_chemical_formula_sum 'Tc3 Mo1 O1'
_space_group_name_H-M_alt 'P 1'
_space_group_IT_number 1
_cell_length_a 4.7582
_cell_length_b 4.7582
_cell_length_c 4.7582
_cell_angle_alpha 90.00
_cell_angle_beta 90.00
_cell_angle_gamma 90.00
loop_
_space_group_symop_operation_xyz
'x,y,z'
loop_
_atom_site_label
_atom_site_type_symbol
_atom_site_fract_x
_atom_site_fract_y
_atom_site_fract_z
_atom_site_occupancy
Tc1 Tc 0.0000 0.0000 0.5000 1
Tc2 Tc 0.0000 0.5000 0.0000 1
Tc3 Tc 0.5000 0.0000 0.0000 1
Mo1 Mo 0.0000 0.0000 0.0000 1
O1 O 0.5000 0.5000 0.5000 1